(1)
Below is an optimized crystal structure of HgTeI2, with properties calculated at the PBE level.

Cell: 5.667 5.667 5.667 Å, 60.00 60.00 60.00°
Positions (direct):
Hg (0.000, 0.000, 0.000)
Te (0.500, 0.500, 0.500)
I (0.250, 0.250, 0.250)
I (0.750, 0.750, 0.750)

Output
- ΔE_f (raw) (meV per atom) = 359
- energy above the lowest structure with this stoichiometry (eV/atom) = 0.145

***

(2)
Below is an optimized crystal structure of Cr4CuCl, with properties calculated at the PBE level.

Cell: 4.824 4.824 4.824 Å, 60.00 60.00 60.00°
Positions (direct):
Cr (0.123, 0.123, 0.123)
Cr (0.123, 0.123, 0.631)
Cr (0.123, 0.631, 0.123)
Cr (0.631, 0.123, 0.123)
Cu (0.750, 0.750, 0.750)
Cl (0.500, 0.500, 0.500)

Output
- ΔE_f (raw) (meV per atom) = 886

***

(3)
Below is an optimized crystal structure of Ga2OsPd, with properties calculated at the PBE level.

Cell: 9.006 9.006 9.006 Å, 154.53 154.53 36.33°
Positions (direct):
Ga (0.109, 0.625, 0.984)
Ga (0.375, 0.359, 0.484)
Ga (0.641, 0.125, 0.016)
Ga (0.875, 0.891, 0.516)
Os (0.000, 0.000, 0.000)
Os (0.750, 0.250, 0.500)
Pd (0.250, 0.750, 0.500)
Pd (0.500, 0.500, 0.000)

Output
- energy of formation from the pure elements (eV per atom) = 0.249
- energy above the lowest structure with this stoichiometry (eV/atom) = 0.524